1.
# GGA-PBE Tb2IrBr2, relaxed
data_Tb2IrBr2
_chemical_formula_sum 'Tb8 Ir4 Br8'
_cell_length_a 23.064
_cell_length_b 4.119
_cell_length_c 6.479
_cell_angle_alpha 90.00
_cell_angle_beta 105.15
_cell_angle_gamma 90.00
_space_group_name_H-M_alt 'C 1 2/m 1'
_space_group_IT_number 12
loop_
_space_group_symop_operation_xyz
'x,y,z'
'-x,-y,-z'
'-x,y,-z'
'x,-y,z'
'x+1/2,y+1/2,z'
'-x+1/2,-y+1/2,-z'
'-x+1/2,y+1/2,-z'
'x+1/2,-y+1/2,z'
loop_
_atom_site_label
_atom_site_fract_x
_atom_site_fract_y
_atom_site_fract_z
Tb1 0.160 0.000 0.300
Tb2 0.192 0.500 0.829
Ir1 0.243 0.500 0.311
Br1 0.083 0.500 0.400
Br2 0.096 0.000 0.864
# * E_form (uncorrected): -1.348 eV/atom

=====

2.
# GGA-PBE Tb5IrBr9, relaxed
data_Tb5IrBr9
_chemical_formula_sum 'Tb80 Ir16 Br144'
_cell_length_a 13.066
_cell_length_b 13.066
_cell_length_c 46.431
_cell_angle_alpha 90.00
_cell_angle_beta 90.00
_cell_angle_gamma 90.00
_space_group_name_H-M_alt 'I 41/a'
_space_group_IT_number 88
loop_
_space_group_symop_operation_xyz
'x,y,z'
'-x,-y,-z'
'-y+3/4,x+1/4,z+1/4'
'y+3/4,-x+1/4,-z+1/4'
'-x+1/2,-y,z+1/2'
'x+1/2,y,-z+1/2'
'y+3/4,-x+3/4,z+3/4'
'-y+3/4,x+3/4,-z+3/4'
'x+1/2,y+1/2,z+1/2'
'-x+1/2,-y+1/2,-z+1/2'
'-y+1/4,x+3/4,z+3/4'
'y+1/4,-x+3/4,-z+3/4'
'-x,-y+1/2,z'
'x,y+1/2,-z'
'y+1/4,-x+1/4,z+1/4'
'-y+1/4,x+1/4,-z+1/4'
loop_
_atom_site_label
_atom_site_fract_x
_atom_site_fract_y
_atom_site_fract_z
Tb1 0.046 0.070 0.405
Tb2 0.046 0.109 0.539
Tb3 0.051 0.089 0.659
Tb4 0.051 0.098 0.033
Tb5 0.225 0.014 0.596
Ir1 0.041 0.119 0.598
Br1 0.047 0.113 0.220
Br2 0.048 0.100 0.725
Br3 0.053 0.085 0.469
Br4 0.058 0.113 0.843
Br5 0.059 0.087 0.972
Br6 0.060 0.115 0.344
Br7 0.072 0.095 0.092
Br8 0.235 0.012 0.157
Br9 0.245 0.499 0.717
# * E_form (uncorrected): -1.674 eV/atom

=====

3.
# GGA-PBE Tb3IrBr3, relaxed
data_Tb3IrBr3
_chemical_formula_sum 'Tb6 Ir2 Br6'
_cell_length_a 8.593
_cell_length_b 4.156
_cell_length_c 11.925
_cell_angle_alpha 90.00
_cell_angle_beta 91.00
_cell_angle_gamma 90.00
_space_group_name_H-M_alt 'P 1 21/m 1'
_space_group_IT_number 11
loop_
_space_group_symop_operation_xyz
'x,y,z'
'-x,-y,-z'
'-x,y+1/2,-z'
'x,-y+1/2,z'
loop_
_atom_site_label
_atom_site_fract_x
_atom_site_fract_y
_atom_site_fract_z
Tb1 0.097 0.250 0.326
Tb2 0.151 0.250 0.862
Tb3 0.265 0.750 0.098
Ir1 0.052 0.250 0.096
Br1 0.132 0.250 0.600
Br2 0.334 0.750 0.353
Br3 0.435 0.750 0.871
# * E_form (uncorrected): -1.401 eV/atom

=====

4.
# GGA-PBE Tb6IrBr10, relaxed
data_Tb6IrBr10
_chemical_formula_sum 'Tb6 Ir1 Br10'
_cell_length_a 7.424
_cell_length_b 9.234
_cell_length_c 9.317
_cell_angle_alpha 107.92
_cell_angle_beta 96.63
_cell_angle_gamma 104.84
_space_group_name_H-M_alt 'P -1'
_space_group_IT_number 2
loop_
_space_group_symop_operation_xyz
'x,y,z'
'-x,-y,-z'
loop_
_atom_site_label
_atom_site_fract_x
_atom_site_fract_y
_atom_site_fract_z
Tb1 0.034 0.205 0.408
Tb2 0.127 0.549 0.254
Tb3 0.360 0.636 0.680
Ir1 0.000 0.500 0.500
Br1 0.088 0.872 0.329
Br2 0.220 0.247 0.155
Br3 0.247 0.581 0.955
Br4 0.342 0.952 0.775
Br5 0.454 0.322 0.584
# * E_form (uncorrected): -1.627 eV/atom